# PBE Al7Rh, optimized geometry
data_Al7Rh
_chemical_formula_sum 'Al28 Rh4'
_cell_length_a 7.913
_cell_length_b 7.913
_cell_length_c 7.913
_cell_angle_alpha 90.00
_cell_angle_beta 90.00
_cell_angle_gamma 90.00
_space_group_name_H-M_alt 'F m -3 m'
_space_group_IT_number 225
_space_group_name_Hall '-F 4 2 3'
loop_
_atom_site_label
_atom_site_fract_x
_atom_site_fract_y
_atom_site_fract_z
Al1 0.000 0.000 0.000
Al2 0.000 0.250 0.250
Rh1 0.000 0.000 0.500
# total DFT energy (no corrections)	-4.4516	eV/atom
# size of the total moment	0.000	μB per formula unit
# energy relative to the elements	-0.2579	eV per atom